## SrCaFe2 (PBE)

Data for a relaxed SrCaFe2 crystal.

a b c (Å): 4.9932 4.9932 4.9932
angles (deg): 60.00 60.00 60.00
Positions (direct):
Sr 0.0000 0.0000 0.0000
Ca 0.7500 0.7500 0.7500
Fe 0.2500 0.2500 0.2500
Fe 0.5000 0.5000 0.5000

total moment = 4.65 μB/cell
Fermi-level density of states = 1.526 states/eV/atom
uncorrected energy = -17.446 eV/cell



## HoPu3N (PBE)

Data for a relaxed HoPu3N crystal.

a b c (Å): 4.8782 4.8782 4.8782
angles (deg): 90.00 90.00 90.00
Positions (direct):
Ho 0.0000 0.0000 0.0000
Pu 0.0000 0.5000 0.5000
Pu 0.5000 0.0000 0.5000
Pu 0.5000 0.5000 0.0000
N 0.5000 0.5000 0.5000

total moment = 16.40 μB/cell
Fermi-level density of states = 3.305 states/eV/atom
raw formation energy = -0.287 eV/atom



## LaPmNd6Y2 (PBE)

Data for a relaxed LaPmNd6Y2 crystal.

a b c (Å): 9.0168 9.0168 9.7208
angles (deg): 93.48 93.48 116.36
Positions (direct):
La 0.0940 0.9060 0.7500
La 0.9060 0.0940 0.2500
Pm 0.4620 0.5380 0.2500
Pm 0.5380 0.4620 0.7500
Nd 0.0212 0.7959 0.3829
Nd 0.0609 0.5134 0.1808
Nd 0.2041 0.9788 0.1171
Nd 0.2610 0.6051 0.5593
Nd 0.3949 0.7390 0.9407
Nd 0.4866 0.9391 0.3192
Nd 0.5134 0.0609 0.6808
Nd 0.6051 0.2610 0.0593
Nd 0.7390 0.3949 0.4407
Nd 0.7959 0.0212 0.8829
Nd 0.9391 0.4866 0.8192
Nd 0.9788 0.2041 0.6171
Y 0.2081 0.3016 0.9482
Y 0.3016 0.2081 0.4482
Y 0.6984 0.7919 0.5518
Y 0.7919 0.6984 0.0518

total moment = 0.00 μB/cell
Fermi-level density of states = 1.455 states/eV/atom
uncorrected energy = -100.173 eV/cell



## PmTm2ScTl2 (PBE)

Data for a relaxed PmTm2ScTl2 crystal.

a b c (Å): 4.9788 9.7643 6.8455
angles (deg): 90.00 90.00 90.00
Positions (direct):
Pm 0.0000 0.0467 0.0000
Pm 0.0000 0.9533 0.5000
Tm 0.0000 0.3148 0.3916
Tm 0.0000 0.6852 0.8916
Tm 0.5000 0.4522 0.0986
Tm 0.5000 0.5478 0.5986
Sc 0.5000 0.1995 0.7147
Sc 0.5000 0.8005 0.2147
Tl 0.0000 0.3660 0.8396
Tl 0.0000 0.6340 0.3396
Tl 0.5000 0.1284 0.2749
Tl 0.5000 0.8716 0.7749

total moment = 0.00 μB/cell
Fermi-level density of states = 1.019 states/eV/atom
uncorrected energy = -52.529 eV/cell



## ZnHgPbF6 (PBE)

Data for a relaxed ZnHgPbF6 crystal.

a b c (Å): 5.8161 5.8161 10.2374
angles (deg): 90.00 90.00 120.00
Positions (direct):
Zn 0.3333 0.6667 0.2500
Zn 0.6667 0.3333 0.7500
Hg 0.3333 0.6667 0.7500
Hg 0.6667 0.3333 0.2500
Pb 0.0000 0.0000 0.0000
Pb 0.0000 0.0000 0.5000
F 0.0354 0.3695 0.1382
F 0.0354 0.6659 0.3618
F 0.3341 0.3695 0.3618
F 0.3341 0.9646 0.1382
F 0.3695 0.0354 0.6382
F 0.3695 0.3341 0.8618
F 0.6305 0.6659 0.1382
F 0.6305 0.9646 0.3618
F 0.6659 0.0354 0.8618
F 0.6659 0.6305 0.6382
F 0.9646 0.3341 0.6382
F 0.9646 0.6305 0.8618

total moment = 0.00 μB/cell
Fermi-level density of states = 0.000 states/eV/atom
raw formation energy = -2.039 eV/atom



## Ba4CaBr (PBE)

Data for a relaxed Ba4CaBr crystal.

a b c (Å): 7.9182 7.9182 7.9182
angles (deg): 60.00 60.00 60.00
Positions (direct):
Ba 0.1255 0.1255 0.1255
Ba 0.1255 0.1255 0.6235
Ba 0.1255 0.6235 0.1255
Ba 0.6235 0.1255 0.1255
Ca 0.5000 0.5000 0.5000
Br 0.7500 0.7500 0.7500

total moment = 1.33 μB/cell
Fermi-level density of states = 1.721 states/eV/atom
raw formation energy = 0.053 eV/atom



## K2ThAg2Te4 (PBE)

Data for a relaxed K2ThAg2Te4 crystal.

a b c (Å): 8.5515 8.5515 8.5415
angles (deg): 109.16 109.16 30.98
Positions (direct):
K 0.1366 0.1366 0.0776
K 0.8634 0.8634 0.9224
Th 0.0000 0.0000 0.5000
Ag 0.3182 0.3182 0.5101
Ag 0.6818 0.6818 0.4899
Te 0.1991 0.1991 0.7022
Te 0.4880 0.4880 0.7482
Te 0.5120 0.5120 0.2518
Te 0.8009 0.8009 0.2978

total moment = 0.00 μB/cell
raw formation energy = -0.900 eV/atom



## ErUNiRu (PBE)

Data for a relaxed ErUNiRu crystal.

a b c (Å): 4.7507 4.7507 4.7507
angles (deg): 60.00 60.00 60.00
Positions (direct):
Er 0.0000 0.0000 0.0000
U 0.5000 0.5000 0.5000
Ni 0.7500 0.7500 0.7500
Ru 0.2500 0.2500 0.2500

total moment = 2.29 μB/cell
Fermi-level density of states = 1.326 states/eV/atom
uncorrected energy = -31.650 eV/cell